First-principles (PBE) data for an optimized crystal structure of Pr2Mg5Ag3, as listed in Alexandria via LeMat-Bulk.

The theoretical density comes out at 5.1 g/cm³. Its formation energy is -0.19 eV/atom. The value obtained for the total energy is -111.789 eV for the cell shown.

The structure belongs to space group Ibam (No. 72); the cell edges are 10.990, 14.591 and 5.952 Å and the angles 90.00°, 90.00° and 90.00°. Symmetry generates all atoms from Pr at (0.209, 0.163, 0.000), Mg at (0.000, 0.000, 0.250), Mg at (0.000, 0.313, 0.250), Mg at (0.201, 0.438, 0.000), Ag at (0.000, 0.500, 0.250) and Ag at (0.084, 0.160, 0.500).